5
Lattice="6.109 0.000 0.000 0.000 6.109 0.000 0.000 0.000 6.109" Properties=species:S:1:pos:R:3 comment="Ac4Ga, optimized geometry, DFT PBE-GGA" de_polymorph_mev_per_atom=235.8 spacegroup="No. 221" magnetic_moment_mub_per_fu=0.0 volume_a3_per_cell=228 formation_energy_ev_per_atom=0.063 dos_at_fermi_per_ev_cell=9.14 dft_energy_ev_per_cell=-19.145 pbc="T T T"
Ac 0.000 0.000 0.000
Ac 0.000 3.055 3.055
Ac 3.055 0.000 3.055
Ac 3.055 3.055 0.000
Ga 3.055 3.055 3.055

***

4
Lattice="3.876 0.000 0.000 0.000 3.876 0.000 0.000 0.000 5.386" Properties=species:S:1:pos:R:3 comment="LiZrSe2, optimized geometry, DFT PBE-GGA" spacegroup="No. 123" magnetic_moment_mub_per_fu=0.0 volume_a3_per_cell=81 dos_at_fermi_per_ev_cell=1.60 dft_energy_ev_per_cell=-22.388 pbc="T T T"
Li 0.000 0.000 0.000
Zr 1.938 1.938 2.693
Se 0.000 0.000 2.693
Se 1.938 1.938 0.000

***

4
Lattice="0.000 3.652 3.652 3.652 0.000 3.652 3.652 3.652 0.000" Properties=species:S:1:pos:R:3 comment="SrCaTa2, optimized geometry, DFT PBE-GGA" de_polymorph_mev_per_atom=555.8 spacegroup="No. 216" magnetic_moment_mub_per_fu=0.0 volume_a3_per_cell=97 formation_energy_ev_per_atom=0.990 dos_at_fermi_per_ev_cell=5.25 dft_energy_ev_per_cell=-23.429 pbc="T T T"
Sr 0.000 0.000 0.000
Ca 5.478 5.478 5.478
Ta 1.826 1.826 1.826
Ta 3.652 3.652 3.652

***

11
Lattice="7.079 0.000 0.000 0.000 3.746 0.000 -0.535 0.000 9.028" Properties=species:S:1:pos:R:3 comment="Tb4Zn5Ga2, optimized geometry, DFT PBE-GGA" spacegroup="No. 10" magnetic_moment_mub_per_fu=0.0 volume_a3_per_cell=239 formation_energy_ev_per_atom=-0.349 dos_at_fermi_per_ev_cell=6.95 dft_energy_ev_per_cell=-34.786 pbc="T T T"
Tb 1.097 0.000 3.409
Tb 1.388 0.000 8.386
Tb 5.156 0.000 0.642
Tb 5.446 0.000 5.620
Zn 0.998 1.873 5.902
Zn 3.007 1.873 1.828
Zn 3.272 1.873 4.514
Zn 3.537 1.873 7.200
Zn 5.546 1.873 3.126
Ga 0.367 1.873 1.226
Ga 6.177 1.873 7.802

***

8
Lattice="4.723 -4.728 0.000 4.723 4.728 0.000 0.000 0.000 4.822" Properties=species:S:1:pos:R:3 comment="LiErTl6, optimized geometry, DFT PBE-GGA" de_polymorph_mev_per_atom=0.0 spacegroup="No. 65" magnetic_moment_mub_per_fu=0.0 volume_a3_per_cell=215 formation_energy_ev_per_atom=-0.104 dos_at_fermi_per_ev_cell=4.38 dft_energy_ev_per_cell=-21.504 pbc="T T T"
Li 0.000 0.000 0.000
Er 4.723 0.000 0.000
Tl 2.361 2.364 0.000
Tl 2.332 0.000 2.411
Tl 4.723 2.383 2.411
Tl 2.361 -2.364 0.000
Tl 4.723 -2.383 2.411
Tl 7.113 0.000 2.411

***

4
Lattice="2.686 -4.227 0.000 2.686 4.227 0.000 0.000 0.000 2.776" Properties=species:S:1:pos:R:3 comment="ScRe2Ir, optimized geometry, DFT PBE-GGA" de_polymorph_mev_per_atom=165.6 spacegroup="No. 65" magnetic_moment_mub_per_fu=0.0 volume_a3_per_cell=63 formation_energy_ev_per_atom=0.017 dos_at_fermi_per_ev_cell=4.14 dft_energy_ev_per_cell=-40.022 pbc="T T T"
Sc 0.000 0.000 0.000
Re 1.343 2.114 1.388
Re 1.343 -2.114 1.388
Ir 2.686 0.000 0.000

***

11
Lattice="-2.568 3.772 7.515 2.568 -3.772 7.515 2.568 3.772 -7.515" Properties=species:S:1:pos:R:3 comment="Na5Hg6, optimized geometry, DFT PBE-GGA" spacegroup="No. 71" magnetic_moment_mub_per_fu=0.0 volume_a3_per_cell=291 formation_energy_ev_per_atom=-0.223 dos_at_fermi_per_ev_cell=4.18 dft_energy_ev_per_cell=-10.856 pbc="T T T"
Na 0.000 0.000 0.000
Na 2.568 0.000 2.364
Na 0.000 0.000 4.553
Na 0.000 0.000 10.477
Na 0.000 3.772 5.151
Hg 2.568 -1.552 5.418
Hg 2.568 2.228 0.000
Hg 0.000 2.219 2.097
Hg 2.568 1.552 5.418
Hg 0.000 1.544 7.515
Hg 0.000 5.324 2.097

***

5
Lattice="-1.976 1.976 8.647 1.976 -1.976 8.647 1.976 1.976 -8.647" Properties=species:S:1:pos:R:3 comment="InGe2Te2, optimized geometry, DFT PBE-GGA" de_polymorph_mev_per_atom=74.3 spacegroup="No. 139" magnetic_moment_mub_per_fu=0.0 volume_a3_per_cell=135 dos_at_fermi_per_ev_cell=2.58 dft_energy_ev_per_cell=-17.642 pbc="T T T"
In 0.000 0.000 0.000
Ge 1.976 0.000 4.323
Ge 0.000 1.976 4.323
Te 0.000 0.000 6.778
Te 0.000 0.000 10.515

***

5
Lattice="5.199 0.000 0.000 0.000 5.199 0.000 0.000 0.000 4.643" Properties=species:S:1:pos:R:3 comment="KTiZn2W, optimized geometry, DFT PBE-GGA" spacegroup="No. 123" magnetic_moment_mub_per_fu=0.0 volume_a3_per_cell=125 formation_energy_ev_per_atom=0.732 dos_at_fermi_per_ev_cell=3.50 dft_energy_ev_per_cell=-20.835 pbc="T T T"
K 0.000 0.000 0.000
Ti 2.600 2.600 0.000
Zn 0.000 2.600 2.321
Zn 2.600 0.000 2.321
W 2.600 2.600 2.321

***

14
Lattice="-2.136 4.961 6.405 2.136 -4.961 6.405 2.136 4.961 -6.405" Properties=species:S:1:pos:R:3 comment="Ho3Al11, optimized geometry, DFT PBE-GGA" spacegroup="No. 71" magnetic_moment_mub_per_fu=0.0 volume_a3_per_cell=272 formation_energy_ev_per_atom=-0.326 dos_at_fermi_per_ev_cell=4.14 dft_energy_ev_per_cell=-59.463 pbc="T T T"
Ho 0.000 0.000 0.000
Ho 0.000 0.000 4.021
Ho 0.000 0.000 8.789
Al 2.136 -1.280 2.084
Al 2.136 -2.200 4.629
Al 2.136 1.280 2.084
Al 2.136 2.905 0.000
Al 0.000 2.760 1.776
Al 0.000 4.961 0.000
Al 2.136 2.200 4.629
Al 0.000 2.056 6.405
Al 0.000 3.680 4.321
Al 0.000 7.161 1.776
Al 0.000 6.241 4.321

***

5
Lattice="4.962 0.000 0.000 0.000 4.962 0.000 0.000 0.000 5.948" Properties=species:S:1:pos:R:3 comment="ScSbPt2I, optimized geometry, DFT PBE-GGA" spacegroup="No. 123" magnetic_moment_mub_per_fu=1.0 volume_a3_per_cell=146 dos_at_fermi_per_ev_cell=4.43 dft_energy_ev_per_cell=-21.955 pbc="T T T"
Sc 0.000 0.000 0.000
Sb 2.481 2.481 2.974
Pt 0.000 2.481 2.974
Pt 2.481 0.000 2.974
I 2.481 2.481 0.000

***

10
Lattice="4.272 0.000 0.000 0.000 4.272 0.000 0.000 0.000 9.986" Properties=species:S:1:pos:R:3 comment="Ce2CrAs4Ru3, optimized geometry, DFT PBE-GGA" spacegroup="No. 115" magnetic_moment_mub_per_fu=3.1 volume_a3_per_cell=182 formation_energy_ev_per_atom=-0.655 dos_at_fermi_per_ev_cell=9.02 dft_energy_ev_per_cell=-74.462 pbc="T T T"
Ce 0.000 2.136 2.431
Ce 2.136 0.000 7.555
Cr 0.000 0.000 4.993
As 0.000 0.000 0.000
As 0.000 2.136 6.339
As 2.136 0.000 3.647
As 2.136 2.136 0.000
Ru 0.000 2.136 8.790
Ru 2.136 0.000 1.196
Ru 2.136 2.136 4.993

***

6
Lattice="0.000 3.524 3.524 3.524 0.000 3.524 3.524 3.524 0.000" Properties=species:S:1:pos:R:3 comment="CuP4Rh, optimized geometry, DFT PBE-GGA" spacegroup="No. 216" magnetic_moment_mub_per_fu=0.0 volume_a3_per_cell=88 formation_energy_ev_per_atom=0.655 dos_at_fermi_per_ev_cell=4.62 dft_energy_ev_per_cell=-29.158 pbc="T T T"
Cu 0.000 0.000 0.000
P 4.448 2.599 2.599
P 2.599 4.448 2.599
P 2.599 2.599 4.448
P 4.448 4.448 4.448
Rh 1.762 1.762 1.762

***

4
Lattice="1.468 0.848 8.661 -1.468 0.848 8.661 0.000 -1.695 8.661" Properties=species:S:1:pos:R:3 comment="GaHSe2, optimized geometry, DFT PBE-GGA" de_polymorph_mev_per_atom=887.6 spacegroup="No. 166" magnetic_moment_mub_per_fu=0.0 volume_a3_per_cell=65 dos_at_fermi_per_ev_cell=1.83 dft_energy_ev_per_cell=-11.249 pbc="T T T"
Ga 0.000 0.000 0.000
H 0.000 0.000 12.991
Se 0.000 0.000 2.777
Se 0.000 0.000 23.206

***

6
Lattice="1.801 1.040 9.861 -1.801 1.040 9.861 0.000 -2.080 9.861" Properties=species:S:1:pos:R:3 comment="TiSiAs, optimized geometry, DFT PBE-GGA" spacegroup="No. 160" magnetic_moment_mub_per_fu=0.0 volume_a3_per_cell=111 dos_at_fermi_per_ev_cell=2.71 dft_energy_ev_per_cell=-38.202 pbc="T T T"
Ti 0.000 0.000 0.000
Ti 0.000 0.000 5.421
Si 0.000 0.000 8.204
Si 0.000 0.000 26.798
As 0.000 0.000 11.327
As 0.000 0.000 13.800

***

4
Lattice="4.311 0.000 0.000 0.000 4.311 0.000 0.000 0.000 7.289" Properties=species:S:1:pos:R:3 comment="La2EuSn, optimized geometry, DFT PBE-GGA" de_polymorph_mev_per_atom=58.5 spacegroup="No. 123" magnetic_moment_mub_per_fu=7.9 volume_a3_per_cell=135 formation_energy_ev_per_atom=-0.389 dos_at_fermi_per_ev_cell=3.81 dft_energy_ev_per_cell=-25.690 pbc="T T T"
La 0.000 0.000 1.562
La 0.000 0.000 5.728
Eu 2.156 2.156 3.645
Sn 2.156 2.156 0.000

***

4
Lattice="1.661 0.959 11.044 -1.661 0.959 11.044 0.000 -1.917 11.044" Properties=species:S:1:pos:R:3 comment="MgRhCl2, optimized geometry, DFT PBE-GGA" de_polymorph_mev_per_atom=229.1 spacegroup="No. 166" magnetic_moment_mub_per_fu=1.7 volume_a3_per_cell=105 dos_at_fermi_per_ev_cell=4.61 dft_energy_ev_per_cell=-14.358 pbc="T T T"
Mg 0.000 0.000 0.000
Rh 0.000 0.000 16.566
Cl 0.000 0.000 9.545
Cl 0.000 0.000 23.586

***

10
Lattice="6.948 0.000 0.000 0.000 6.948 0.000 0.000 0.000 4.786" Properties=species:S:1:pos:R:3 comment="Sr2RuPt2, optimized geometry, DFT PBE-GGA" spacegroup="No. 127" magnetic_moment_mub_per_fu=1.0 volume_a3_per_cell=231 formation_energy_ev_per_atom=-0.276 dos_at_fermi_per_ev_cell=8.96 dft_energy_ev_per_cell=-52.206 pbc="T T T"
Sr 1.237 2.237 0.000
Sr 2.237 5.710 0.000
Sr 4.711 1.237 0.000
Sr 5.710 4.711 0.000
Ru 0.000 0.000 2.393
Ru 3.474 3.474 2.393
Pt 0.947 4.421 2.393
Pt 2.527 0.947 2.393
Pt 4.421 6.001 2.393
Pt 6.001 2.527 2.393

***

5
Lattice="4.299 0.000 0.000 0.000 4.299 0.000 0.000 0.000 4.271" Properties=species:S:1:pos:R:3 comment="BiBPtRh2, optimized geometry, DFT PBE-GGA" spacegroup="No. 123" magnetic_moment_mub_per_fu=0.0 volume_a3_per_cell=79 formation_energy_ev_per_atom=-0.094 dos_at_fermi_per_ev_cell=5.75 dft_energy_ev_per_cell=-31.772 pbc="T T T"
Bi 0.000 0.000 0.000
B 2.150 2.150 2.136
Pt 2.150 2.150 0.000
Rh 0.000 2.150 2.136
Rh 2.150 0.000 2.136

***

4
Lattice="3.073 -4.362 0.000 3.073 4.362 0.000 0.000 0.000 3.210" Properties=species:S:1:pos:R:3 comment="CdIn2Cu, optimized geometry, DFT PBE-GGA" spacegroup="No. 65" magnetic_moment_mub_per_fu=0.0 volume_a3_per_cell=86 formation_energy_ev_per_atom=0.180 dos_at_fermi_per_ev_cell=1.57 dft_energy_ev_per_cell=-9.768 pbc="T T T"
Cd 0.000 0.000 0.000
In 1.537 2.181 1.605
In 1.537 -2.181 1.605
Cu 3.073 0.000 0.000

***

10
Lattice="6.466 0.000 0.000 0.000 3.283 0.000 0.000 0.000 15.025" Properties=species:S:1:pos:R:3 comment="PuPaBi3, optimized geometry, DFT PBE-GGA" de_polymorph_mev_per_atom=157.7 spacegroup="No. 51" magnetic_moment_mub_per_fu=6.9 volume_a3_per_cell=319 formation_energy_ev_per_atom=0.064 dos_at_fermi_per_ev_cell=24.20 dft_energy_ev_per_cell=-70.301 pbc="T T T"
Pu 1.617 0.000 2.843
Pu 4.850 0.000 12.182
Pa 1.617 1.642 12.239
Pa 4.850 1.642 2.786
Bi 0.000 1.642 0.000
Bi 0.066 1.642 5.566
Bi 3.167 1.642 5.566
Bi 3.233 1.642 0.000
Bi 3.300 1.642 9.459
Bi 6.400 1.642 9.459

***

4
Lattice="-2.774 2.774 3.961 2.774 -2.774 3.961 2.774 2.774 -3.961" Properties=species:S:1:pos:R:3 comment="K2TlSi, optimized geometry, DFT PBE-GGA" de_polymorph_mev_per_atom=102.2 spacegroup="No. 119" magnetic_moment_mub_per_fu=0.0 volume_a3_per_cell=122 dos_at_fermi_per_ev_cell=1.94 dft_energy_ev_per_cell=-9.140 pbc="T T T"
K 0.000 0.000 0.000
K 0.000 2.774 1.981
Tl 0.000 0.000 3.961
Si 2.774 0.000 1.981

***

9
Lattice="4.287 0.000 0.000 0.000 4.287 0.000 0.000 0.000 9.468" Properties=species:S:1:pos:R:3 comment="PrNdAs2Pd5, optimized geometry, DFT PBE-GGA" spacegroup="No. 123" magnetic_moment_mub_per_fu=0.0 volume_a3_per_cell=174 formation_energy_ev_per_atom=-0.815 dos_at_fermi_per_ev_cell=3.04 dft_energy_ev_per_cell=-52.149 pbc="T T T"
Pr 0.000 0.000 0.000
Nd 0.000 0.000 4.734
As 2.144 2.144 3.417
As 2.144 2.144 6.051
Pd 0.000 2.144 2.120
Pd 0.000 2.144 7.348
Pd 2.144 0.000 2.120
Pd 2.144 0.000 7.348
Pd 2.144 2.144 0.000

***

16
Lattice="4.248 2.453 7.204 -4.248 2.453 7.204 0.000 -4.906 7.204" Properties=species:S:1:pos:R:3 comment="Pm8Si3PdBr4, optimized geometry, DFT PBE-GGA" spacegroup="No. 166" magnetic_moment_mub_per_fu=0.0 volume_a3_per_cell=450 dos_at_fermi_per_ev_cell=9.72 dft_energy_ev_per_cell=-82.638 pbc="T T T"
Pm -2.136 -1.233 12.337
Pm 0.000 0.000 5.137
Pm 0.000 -2.466 9.274
Pm -2.136 1.233 9.274
Pm 2.136 -1.233 12.337
Pm 0.000 2.466 12.337
Pm 0.000 0.000 16.474
Pm 2.136 1.233 9.274
Si -4.248 0.000 10.805
Si -2.124 1.226 3.602
Si 2.124 1.226 3.602
Pd 0.000 0.000 10.806
Br 0.000 0.000 0.000
Br -2.124 -1.226 7.204
Br -2.124 1.226 14.407
Br 0.000 2.453 7.204

***

4
Lattice="0.000 3.675 3.675 3.675 0.000 3.675 3.675 3.675 0.000" Properties=species:S:1:pos:R:3 comment="CeEuGaGe, optimized geometry, DFT PBE-GGA" spacegroup="No. 216" magnetic_moment_mub_per_fu=7.8 volume_a3_per_cell=99 formation_energy_ev_per_atom=-0.500 dos_at_fermi_per_ev_cell=7.59 dft_energy_ev_per_cell=-25.851 pbc="T T T"
Ce 0.000 0.000 0.000
Eu 3.675 3.675 3.675
Ga 1.838 1.838 1.838
Ge 5.513 5.513 5.513

***

4
Lattice="0.000 3.346 3.346 3.346 0.000 3.346 3.346 3.346 0.000" Properties=species:S:1:pos:R:3 comment="LuScZnIr, optimized geometry, DFT PBE-GGA" spacegroup="No. 216" magnetic_moment_mub_per_fu=0.0 volume_a3_per_cell=75 formation_energy_ev_per_atom=-0.700 dos_at_fermi_per_ev_cell=2.66 dft_energy_ev_per_cell=-23.789 pbc="T T T"
Lu 0.000 0.000 0.000
Sc 3.346 3.346 3.346
Zn 1.673 1.673 1.673
Ir 5.020 5.020 5.020